VASP calculation (PBE) on a geometry-optimized Mg2TlCl structure.

## Properties
The formation energy without anion corrections is -0.148 eV per atom. The calculation puts the offset from the most stable computed form at 363 meV per atom. As for the space group: F-43m, No. 216. For the final energy, the calculation gives -1.999 eV/atom.

Unit cell a=5.3737 b=5.3737 c=5.3737 alpha=60.00 beta=60.00 gamma=60.00
With the nearest neighbours (Å) after each atom.
Element x y z (fractional)
Mg (0.0000, 0.0000, 0.0000)  4 Tl 3.29, 4 Mg 3.29
Mg (0.2500, 0.2500, 0.2500)  4 Cl 3.29, 4 Mg 3.29
Tl (0.7500, 0.7500, 0.7500)  4 Cl 3.29, 4 Mg 3.29
Cl (0.5000, 0.5000, 0.5000)  4 Tl 3.29, 4 Mg 3.29